[1]
This record from Alexandria via LeMat-Bulk describes PaIn2Pb after structural relaxation. The functional is GGA-PBE.

Computed properties:
E_tot   -4.6617 eV/atom
Distance to the lowest polymorph of the same formula   0.100 eV/atom
Crystal system   tetragonal
DOS(E_F)   1.349 states/eV per atom

Cell lengths 4.5166, 4.5167, 6.0789 Å; angles 111.81, 111.81, 90.00 degrees
Fractional positions:
1 Pb 0.5000 0.5000 0.0000
2 In 0.2500 0.7500 0.4999
3 In 0.7500 0.2500 0.5001
4 Pa 0.0000 0.0000 0.0000



[2]
This record from Alexandria via LeMat-Bulk describes PaInPb after structural relaxation. The functional is GGA-PBE.

Computed properties:
E_tot   -5.1682 eV/atom
Distance to the lowest polymorph of the same formula   0.079 eV/atom
Crystal system   trigonal
DOS(E_F)   1.780 states/eV per atom

Cell lengths 5.4298, 5.4298, 3.1178 Å; angles 90.00, 90.00, 120.00 degrees
Fractional positions:
1 In 0.6667 0.3333 0.4984
2 Pb 0.3333 0.6667 0.5017
3 Pa 0.0000 0.0000 0.9999



[3]
This record from Alexandria via LeMat-Bulk describes PaIn2Pb after structural relaxation. The functional is GGA-PBE.

Computed properties:
E_tot   -4.4145 eV/atom
Distance to the lowest polymorph of the same formula   0.347 eV/atom
Crystal system   cubic
DOS(E_F)   1.347 states/eV per atom

Cell lengths 5.4116, 5.4116, 5.4109 Å; angles 60.00, 60.00, 60.00 degrees
Fractional positions:
1 In 0.2500 0.2500 0.2499
2 In 0.7500 0.7500 0.7501
3 Pa 0.5000 0.5000 0.5000
4 Pb 0.0000 0.0000 0.0000



[4]
This record from Alexandria via LeMat-Bulk describes Pa2In3Pb3 after structural relaxation. The functional is GGA-PBE.

Computed properties:
E_tot   -4.8668 eV/atom
Crystal system   orthorhombic
DOS(E_F)   1.105 states/eV per atom

Cell lengths 4.8254, 4.7370, 9.2246 Å; angles 90.00, 90.00, 90.00 degrees
Fractional positions:
1 Pb 0.0000 0.5000 0.5000
2 Pb 0.0000 0.5000 0.0000
3 Pb 0.5000 0.0000 0.5000
4 In 0.5000 0.5000 0.2440
5 In 0.5000 0.0000 0.0000
6 In 0.5000 0.5000 0.7560
7 Pa 0.0000 0.0000 0.2504
8 Pa 0.0000 0.0000 0.7496



[5]
This record from Alexandria via LeMat-Bulk describes PaInPb after structural relaxation. The functional is GGA-PBE.

Computed properties:
E_tot   -5.1028 eV/atom
Distance to the lowest polymorph of the same formula   0.145 eV/atom
Crystal system   orthorhombic
DOS(E_F)   1.838 states/eV per atom

Cell lengths 5.2535, 5.2535, 6.5044 Å; angles 90.00, 90.00, 112.86 degrees
Fractional positions:
1 Pa 0.6725 0.3275 0.2500
2 Pa 0.3275 0.6725 0.7500
3 In 0.3196 0.6804 0.2500
4 In 0.6804 0.3196 0.7500
5 Pb 0.0000 0.0000 0.0000
6 Pb 0.0000 0.0000 0.5000



[6]
This record from Alexandria via LeMat-Bulk describes PaIn2Pb after structural relaxation. The functional is GGA-PBE.

Computed properties:
E_tot   -4.5367 eV/atom
Distance to the lowest polymorph of the same formula   0.225 eV/atom
Crystal system   tetragonal
DOS(E_F)   1.599 states/eV per atom

Cell lengths 3.9250, 3.9250, 6.9353 Å; angles 90.00, 90.00, 90.00 degrees
Fractional positions:
1 In 0.0000 0.0000 0.7594
2 In 0.0000 0.0000 0.2406
3 Pa 0.5000 0.5000 0.5000
4 Pb 0.5000 0.5000 0.0000



> Number 6 is which compound?

PaIn2Pb